No. 1
The following is a PBE calculation of Zr2Cd2S after structural relaxation, from Alexandria via LeMat-Bulk.

Calculated values
E_form (uncorrected) = -53.6 kJ per mole of atoms

abc: 6.722 6.722 4.945
angles: 90.00 90.00 90.00
Space group P4/mbm (No. 127)
Unique sites:
Zr 0.164 0.336 0.000 [4 per cell]
Cd 0.150 0.650 0.500 [4 per cell]
S 0.000 0.000 0.000 [2 per cell]

No. 2
The following is a PBE calculation of Ho8Cu2Ir after structural relaxation, from Alexandria via LeMat-Bulk.

Calculated values
Relative energy among the computed polymorphs = 121.9 meV/atom
Energy relative to the elements = -0.16 eV/atom

abc: 8.184 13.108 5.899
angles: 90.00 111.78 90.00
Space group Cm (No. 8)
Unique sites:
Ho 0.000 0.000 0.000 [2 per cell]
Ho 0.077 0.374 0.790 [4 per cell]
Ho 0.143 0.126 0.562 [4 per cell]
Ho 0.222 0.500 0.380 [2 per cell]
Ho 0.360 0.201 0.186 [4 per cell]
Cu 0.366 0.303 0.695 [4 per cell]
Ir 0.362 0.000 0.364 [2 per cell]

No. 3
The following is a PBE calculation of Ba2CuRe after structural relaxation, from Alexandria via LeMat-Bulk.

Calculated values
Relative energy among the computed polymorphs = 275.9 meV/atom
Energy relative to the elements = 0.95 eV/atom

abc: 3.251 3.998 8.698
angles: 90.00 90.17 90.00
Space group P2/m (No. 10)
Unique sites:
Ba 0.000 0.000 0.244 [2 per cell]
Cu 0.500 0.500 0.500 [1 per cell]
Re 0.500 0.500 0.000 [1 per cell]

No. 4
The following is a PBE calculation of HgPbI3 after structural relaxation, from Alexandria via LeMat-Bulk.

Calculated values
E_form (uncorrected) = 0.6 kJ per mole of atoms
Relative energy among the computed polymorphs = 173.7 meV/atom

abc: 5.910 5.910 5.910
angles: 90.00 90.00 90.00
Space group Pm-3m (No. 221)
Unique sites:
Hg 0.000 0.000 0.000 [1 per cell]
Pb 0.500 0.500 0.500 [1 per cell]
I 0.000 0.000 0.500 [3 per cell]

No. 5
The following is a PBE calculation of BaNb2AgO7 after structural relaxation, from Alexandria via LeMat-Bulk.

Calculated values
E_form (uncorrected) = -207.5 kJ per mole of atoms

abc: 4.047 4.047 19.806
angles: 90.00 90.00 90.00
Space group I-4m2 (No. 119)
Unique sites:
Ba 0.000 0.000 0.000 [2 per cell]
Nb 0.000 0.000 0.390 [4 per cell]
Ag 0.000 0.500 0.250 [2 per cell]
O 0.000 0.000 0.293 [4 per cell]
O 0.000 0.000 0.500 [2 per cell]
O 0.000 0.500 0.103 [4 per cell]
O 0.000 0.500 0.599 [4 per cell]

No. 6
The following is a PBE calculation of DyBeSi2Ni2 after structural relaxation, from Alexandria via LeMat-Bulk.

Calculated values
E_form (uncorrected) = -7.5 kJ per mole of atoms

abc: 4.174 4.174 5.106
angles: 90.00 90.00 90.00
Space group P4/mmm (No. 123)
Unique sites:
Dy 0.000 0.000 0.000 [1 per cell]
Be 0.000 0.000 0.500 [1 per cell]
Si 0.000 0.500 0.500 [2 per cell]
Ni 0.500 0.500 0.245 [2 per cell]

No. 7
The following is a PBE calculation of LiPm2Sm2 after structural relaxation, from Alexandria via LeMat-Bulk.

Calculated values
Energy relative to the elements = 0.68 eV/atom

abc: 6.205 6.205 8.868
angles: 90.00 90.00 90.00
Space group I4/mmm (No. 139)
Unique sites:
Li 0.000 0.000 0.000 [2 per cell]
Pm 0.000 0.500 0.250 [4 per cell]
Sm 0.000 0.000 0.347 [4 per cell]

No. 8
The following is a PBE calculation of Sm2AgP3Pt12 after structural relaxation, from Alexandria via LeMat-Bulk.

Calculated values
Energy relative to the elements = -0.35 eV/atom

abc: 8.3575 8.3575 17.4025
angles: 90.00 90.00 120.00
Space group R-3m (No. 166, hexagonal axes)
Unique sites:
Sm 0.0000 0.0000 0.1072 [6 per cell]
Ag 0.0000 0.0000 0.5000 [3 per cell]
P 0.0000 0.5000 0.0000 [9 per cell]
Pt 0.0137 0.5068 0.8702 [18 per cell]
Pt 0.0358 0.5179 0.3597 [18 per cell]

Number 1: density of states at the Fermi level 0.435 states/eV per atom. Number 2: density of states at the Fermi level 1.337 states/eV per atom. Number 3: density of states at the Fermi level 0.570 states/eV per atom. Number 4: density of states at the Fermi level 0.515 states/eV per atom. Number 5: density of states at the Fermi level 0.220 states/eV per atom. Number 6: density of states at the Fermi level 0.691 states/eV per atom. Number 7: density of states at the Fermi level 1.122 states/eV per atom. Number 8: density of states at the Fermi level 0.328 states/eV per atom.